DFT (PBE) results for an optimized crystal structure of Fe8Ni.

Cell and atoms, written as extended XYZ:
```
9
Lattice="2.871 0.000 0.000 1.435 6.037 0.000 -1.435 0.000 6.037" Properties=species:S:1:pos:R:3 pbc="T T T"
Fe 1.435 0.000 2.017
Fe 0.000 0.000 4.020
Fe 0.000 2.013 2.013
Fe 1.435 2.017 0.000
Fe 1.435 2.013 4.024
Fe 2.871 4.020 0.000
Fe 0.000 4.024 4.024
Fe 1.435 4.024 2.013
Ni 0.000 0.000 0.000
```

Formation energy (meV/atom): 7.2
Size of the total moment (μB per atom): 2.2943